#P
TbTmGaAu, relaxed, DFT GGA-PBE; DOS(E_F) = 0.79 states/eV/atom; symmetry = Amm2, No. 38
1.0
4.530 0.000 0.000
0.000 1.879 5.555
0.000 -1.879 5.555
Tb Tm Ga Au
1 1 1 1
Direct
0.000 0.000 0.000
0.500 0.289 0.289
0.000 0.729 0.729
0.500 0.567 0.567

#Q
TbTmGaAu, relaxed, DFT GGA-PBE; DOS(E_F) = 0.64 states/eV/atom; symmetry = F-43m, No. 216
1.0
0.000 3.590 3.590
3.590 0.000 3.590
3.590 3.590 0.000
Tb Tm Ga Au
1 1 1 1
Direct
0.000 0.000 0.000
0.500 0.500 0.500
0.750 0.750 0.750
0.250 0.250 0.250

Question: of the structures shown, which is the most stable? Reply: #P.